(1)
Material: MoAs3
Method: DFT, PBE
State: optimized geometry Values from VASP.

The structure in Quantum ESPRESSO input format:
```
&SYSTEM
  ibrav = 0, nat = 8, ntyp = 2
/
ATOMIC_SPECIES
As 74.92 As.upf
Mo 95.94 Mo.upf
CELL_PARAMETERS angstrom
5.148 0.000 0.000
0.000 5.148 0.000
0.000 0.000 5.148
ATOMIC_POSITIONS angstrom
As 2.574 0.000 1.287
As 1.287 2.574 0.000
As 0.000 3.861 2.574
As 2.574 0.000 3.861
As 0.000 1.287 2.574
As 3.861 2.574 0.000
Mo 2.574 2.574 2.574
Mo 0.000 0.000 0.000
```

---

(2)
Material: MoAs3
Method: DFT, PBE
State: optimized geometry Values from VASP.

The structure in Quantum ESPRESSO input format:
```
&SYSTEM
  ibrav = 0, nat = 8, ntyp = 2
/
ATOMIC_SPECIES
As 74.92 As.upf
Mo 95.94 Mo.upf
CELL_PARAMETERS angstrom
-2.190 1.420 -7.048
-4.744 1.612 5.603
1.554 3.678 0.258
ATOMIC_POSITIONS angstrom
As -0.967 3.602 1.019
As -1.252 1.726 -1.548
As -4.413 3.107 -2.207
As -4.128 4.983 0.360
As -2.495 2.391 -3.549
As -2.885 4.318 2.361
Mo -3.243 2.447 0.156
Mo -2.137 4.262 -1.344
```

---

(3)
Material: MoAs3
Method: DFT, PBE
State: optimized geometry Values from VASP.

The structure in Quantum ESPRESSO input format:
```
&SYSTEM
  ibrav = 0, nat = 8, ntyp = 2
/
ATOMIC_SPECIES
As 74.92 As.upf
Mo 95.94 Mo.upf
CELL_PARAMETERS angstrom
4.597 0.000 0.000
0.000 4.934 0.000
0.000 0.000 6.106
ATOMIC_POSITIONS angstrom
As 0.000 3.084 3.053
As 0.000 0.947 1.541
As 2.299 3.988 1.512
As 2.299 1.850 0.000
As 2.299 3.988 4.595
As 0.000 0.947 4.565
Mo 2.299 1.558 3.053
Mo 0.000 3.376 0.000
```

---

(4)
Material: MoAs3
Method: DFT, PBE
State: optimized geometry Values from VASP.

The structure in Quantum ESPRESSO input format:
```
&SYSTEM
  ibrav = 0, nat = 16, ntyp = 2
/
ATOMIC_SPECIES
As 74.92 As.upf
Mo 95.94 Mo.upf
CELL_PARAMETERS angstrom
5.805 0.000 0.000
-2.903 5.027 0.000
0.000 0.000 9.853
ATOMIC_POSITIONS angstrom
As 0.000 1.539 7.390
As 4.472 0.770 2.463
As 1.569 4.258 7.390
As 1.333 0.770 2.463
As 1.451 2.514 4.927
As -1.451 2.514 4.927
As 2.903 0.000 4.927
As 1.451 2.514 0.000
As 2.903 3.488 2.463
As 2.903 0.000 0.000
As -1.569 4.258 7.390
As -1.451 2.514 0.000
Mo 0.000 0.000 0.000
Mo 2.903 1.676 7.390
Mo 0.000 3.352 2.463
Mo 0.000 0.000 4.927
```

---

Which one is most stable, and which one is least stable? (2) is the most stable of them, while (4) is the least stable.

---

(1)
Material: MoAs3
Method: DFT, PBE
State: optimized geometry Values from VASP.

The structure in Quantum ESPRESSO input format:
```
&SYSTEM
  ibrav = 0, nat = 4, ntyp = 2
/
ATOMIC_SPECIES
As 74.92 As.upf
Mo 95.94 Mo.upf
CELL_PARAMETERS angstrom
-1.246 -3.964 -0.350
3.303 -0.825 -2.409
2.221 -0.996 3.386
ATOMIC_POSITIONS angstrom
As 1.029 -2.395 -1.379
As 2.762 -0.911 0.489
As 0.487 -2.480 1.518
Mo 0.000 0.000 0.000
```

---

(2)
Material: MoAs3
Method: DFT, PBE
State: optimized geometry Values from VASP.

The structure in Quantum ESPRESSO input format:
```
&SYSTEM
  ibrav = 0, nat = 4, ntyp = 2
/
ATOMIC_SPECIES
As 74.92 As.upf
Mo 95.94 Mo.upf
CELL_PARAMETERS angstrom
-2.809 1.062 1.642
2.692 -1.143 1.778
2.668 6.672 0.248
ATOMIC_POSITIONS angstrom
As 2.615 6.539 0.243
As -0.308 1.995 1.749
As 1.387 3.468 0.129
Mo 1.026 5.331 1.873
```

---

Which one is most stable, and which one is least stable? (2) is the most stable of them, while (1) is the least stable.